{"formula": "La3PmSm2", "functional": "PBE", "state": "relaxed", "formation_energy_ev_per_atom": 0.229, "magnetic_moment_mub_per_fu": 0.00, "dos_at_fermi_per_ev_cell": 23.76, "lattice": [[-1.177, 3.275, -0.317], [-3.610, -0.744, 5.714], [14.244, 6.063, 9.789]], "species": ["La", "La", "La", "La", "La", "La", "Pm", "Pm", "Sm", "Sm", "Sm", "Sm"], "frac_coords": [[0.000, 0.000, 0.000], [0.500, 0.500, 0.500], [0.500, 0.728, 0.815], [0.500, 0.272, 0.185], [0.000, 0.228, 0.685], [0.000, 0.772, 0.315], [0.000, 0.000, 0.500], [0.500, 0.500, 0.000], [0.500, 0.775, 0.148], [0.000, 0.275, 0.352], [0.000, 0.725, 0.648], [0.500, 0.225, 0.852]]}